# CsGaFeF6, optimized geometry, DFT PBE+U
data_CsGaFeF6
_cell_length_a 5.471
_cell_length_b 9.514
_cell_length_c 6.461
_cell_angle_alpha 90.00
_cell_angle_beta 90.03
_cell_angle_gamma 90.00
_symmetry_space_group_name_H-M 'C 1 2 1'
_symmetry_Int_Tables_number 5
_symmetry_space_group_name_Hall 'C 2y'
loop_
_atom_site_label
_atom_site_fract_x
_atom_site_fract_y
_atom_site_fract_z
Cs1 0.000 0.000 0.000
Ga1 0.000 0.334 0.500
Fe1 0.000 0.667 0.500
F1 0.113 0.489 0.669
F2 0.173 0.201 0.672
F3 0.208 0.814 0.667
# energy: -4.98 eV/atom